VASP calculation (PBE-GGA) on crystalline TbNd2Sm4 at its relaxed geometry.

## Properties
Calculated formation energy in meV per atom: 11
Distance to the lowest polymorph of the same formula in meV/atom: 0
Density in g/cm³: 7.3
Total DFT energy (no corrections) in eV per atom: -4.7089
Magnetization in μB/atom: 0.00

Geometry as POSCAR:
```
TbNd2Sm4
1.0
1.816 1.049 20.738
-1.816 1.049 20.738
0.000 -2.097 20.738
Tb Nd Sm
1 2 4
Cartesian
0.000 0.000 0.000
0.000 0.000 26.642
0.000 0.000 35.572
0.000 0.000 8.895
0.000 0.000 17.828
0.000 0.000 44.387
0.000 0.000 53.319
```

=====

VASP calculation (PBE-GGA) on crystalline Tb10NdSm4 at its relaxed geometry.

## Properties
Calculated formation energy in meV per atom: 443
Density in g/cm³: 7.3
Total DFT energy (no corrections) in eV per atom: -4.2204
Magnetization in μB/atom: 0.00

Geometry as POSCAR:
```
Tb10NdSm4
1.0
-4.921 4.921 5.469
4.921 -4.921 5.469
4.921 4.921 -5.469
Tb Nd Sm
10 1 4
Cartesian
7.678 -1.207 1.844
3.714 -2.758 3.625
4.921 0.000 2.735
2.163 1.207 1.844
-1.207 2.163 1.844
6.128 2.758 3.625
2.758 3.714 3.625
0.000 4.921 2.735
1.207 7.678 1.844
-2.758 6.128 3.625
0.000 0.000 0.000
5.460 2.084 0.000
2.084 4.381 0.000
2.837 0.540 5.469
-0.540 2.837 5.469
```

=====

VASP calculation (PBE-GGA) on crystalline Tb3Nd2Sm6 at its relaxed geometry.

## Properties
Calculated formation energy in meV per atom: 271
Distance to the lowest polymorph of the same formula in meV/atom: 258
Density in g/cm³: 7.1
Total DFT energy (no corrections) in eV per atom: -4.4325
Magnetization in μB/atom: 0.00

Geometry as POSCAR:
```
Tb3Nd2Sm6
1.0
-2.398 2.398 16.919
2.398 -2.398 16.919
2.398 2.398 -16.919
Tb Nd Sm
3 2 6
Cartesian
0.000 0.000 0.000
0.000 0.000 6.766
0.000 0.000 27.072
0.000 0.000 15.374
0.000 0.000 18.465
2.398 0.000 4.121
0.000 0.000 10.205
2.398 0.000 12.798
0.000 2.398 4.121
0.000 0.000 23.634
0.000 2.398 12.798
```

=====

VASP calculation (PBE-GGA) on crystalline TbNdSm at its relaxed geometry.

## Properties
Calculated formation energy in meV per atom: 17
Distance to the lowest polymorph of the same formula in meV/atom: 3
Density in g/cm³: 7.5
Total DFT energy (no corrections) in eV per atom: -4.6883
Magnetization in μB/atom: 0.00

Geometry as POSCAR:
```
TbNdSm
1.0
-1.813 1.813 7.688
1.813 -1.813 7.688
1.813 1.813 -7.688
Tb Nd Sm
1 1 1
Cartesian
0.000 0.000 0.000
0.000 0.000 10.246
0.000 0.000 5.160
```

=====

VASP calculation (PBE-GGA) on crystalline TbNd6Sm6 at its relaxed geometry.

## Properties
Calculated formation energy in meV per atom: 281
Density in g/cm³: 7.0
Total DFT energy (no corrections) in eV per atom: -4.4534
Magnetization in μB/atom: 0.00

Geometry as POSCAR:
```
TbNd6Sm6
1.0
6.775 0.000 0.000
-3.388 5.868 0.000
0.000 0.000 11.557
Tb Nd Sm
1 6 6
Cartesian
0.000 0.000 0.000
-1.694 2.934 2.866
-1.694 2.934 8.691
3.388 0.000 2.866
3.388 0.000 8.691
1.694 2.934 2.866
1.694 2.934 8.691
0.000 0.000 4.068
0.000 0.000 7.490
0.000 3.912 0.000
0.000 3.912 5.779
3.388 1.956 0.000
3.388 1.956 5.779
```

=====

VASP calculation (PBE-GGA) on crystalline TbNd4Sm15 at its relaxed geometry.

## Properties
Calculated formation energy in meV per atom: 16
Density in g/cm³: 7.3
Total DFT energy (no corrections) in eV per atom: -4.7087
Magnetization in μB/atom: 0.00

Geometry as POSCAR:
```
TbNd4Sm15
1.0
5.143 0.000 0.000
0.000 5.143 0.000
0.000 0.000 25.699
Tb Nd Sm
1 4 15
Cartesian
0.000 0.000 0.000
0.000 0.000 5.120
0.000 0.000 10.272
0.000 0.000 15.426
0.000 0.000 20.579
0.000 2.571 2.539
0.000 2.571 7.696
0.000 2.571 12.849
0.000 2.571 18.003
0.000 2.571 23.159
2.571 0.000 2.539
2.571 0.000 7.696
2.571 0.000 12.849
2.571 0.000 18.003
2.571 0.000 23.159
2.571 2.571 0.000
2.571 2.571 5.113
2.571 2.571 10.274
2.571 2.571 15.425
2.571 2.571 20.586
```

=====

VASP calculation (PBE-GGA) on crystalline TbNd14Sm at its relaxed geometry.

## Properties
Calculated formation energy in meV per atom: 13
Density in g/cm³: 6.9
Total DFT energy (no corrections) in eV per atom: -4.7428
Magnetization in μB/atom: 0.00

Geometry as POSCAR:
```
TbNd14Sm
1.0
7.339 0.000 0.000
0.000 7.339 0.000
0.000 0.000 10.382
Tb Nd Sm
1 14 1
Cartesian
0.000 0.000 0.000
0.000 0.000 5.191
0.000 3.670 0.000
0.000 3.670 5.191
1.832 1.832 2.581
1.832 1.832 7.801
1.832 5.507 2.581
1.832 5.507 7.801
3.670 0.000 0.000
3.670 0.000 5.191
3.670 3.670 5.191
5.507 1.832 2.581
5.507 1.832 7.801
5.507 5.507 2.581
5.507 5.507 7.801
3.670 3.670 0.000
```

=====

VASP calculation (PBE-GGA) on crystalline Tb3Nd4Sm8 at its relaxed geometry.

## Properties
Calculated formation energy in meV per atom: 346
Distance to the lowest polymorph of the same formula in meV/atom: 227
Density in g/cm³: 7.2
Total DFT energy (no corrections) in eV per atom: -4.3680
Magnetization in μB/atom: 0.00

Geometry as POSCAR:
```
Tb3Nd4Sm8
1.0
6.817 -6.457 0.000
6.817 6.457 0.000
-3.452 0.000 5.942
Tb Nd Sm
3 4 8
Cartesian
0.000 0.000 0.000
1.683 3.229 2.971
1.683 -3.229 2.971
3.408 3.229 0.000
3.408 -3.229 0.000
6.817 0.000 0.000
5.091 0.000 2.971
5.091 4.604 2.971
-0.174 0.000 5.637
1.570 0.000 2.873
6.817 3.298 0.000
6.817 -3.298 0.000
8.612 0.000 3.069
10.356 0.000 0.304
5.091 -4.604 2.971
```

=====

VASP calculation (PBE-GGA) on crystalline Tb4Nd5Sm3 at its relaxed geometry.

## Properties
Calculated formation energy in meV per atom: 13
Distance to the lowest polymorph of the same formula in meV/atom: 0
Density in g/cm³: 7.4
Total DFT energy (no corrections) in eV per atom: -4.6966
Magnetization in μB/atom: 0.00

Geometry as POSCAR:
```
Tb4Nd5Sm3
1.0
6.284 0.000 0.000
-0.007 7.251 0.000
-0.006 -0.012 8.886
Tb Nd Sm
4 5 3
Cartesian
1.037 7.247 1.461
2.087 1.789 7.419
4.184 5.450 1.467
5.234 -0.008 7.425
0.000 1.797 4.446
1.051 3.622 1.467
3.139 -0.006 4.443
5.220 3.617 7.419
6.271 5.442 4.440
2.085 5.441 7.419
3.135 3.619 4.443
4.186 1.798 1.467
```

=====

VASP calculation (PBE-GGA) on crystalline Tb6Nd16Sm7 at its relaxed geometry.

## Properties
Calculated formation energy in meV per atom: 216
Density in g/cm³: 6.9
Total DFT energy (no corrections) in eV per atom: -4.5114
Magnetization in μB/atom: 0.00

Geometry as POSCAR:
```
Tb6Nd16Sm7
1.0
0.000 8.047 8.047
8.047 0.000 8.047
8.047 8.047 0.000
Tb Nd Sm
6 16 7
Cartesian
8.047 8.047 3.766
8.047 3.766 8.047
12.328 8.047 8.047
3.766 8.047 8.047
8.047 12.328 8.047
8.047 8.047 12.328
10.068 6.026 6.026
2.422 2.422 2.422
5.625 5.625 2.422
5.625 2.422 5.625
6.026 6.026 6.026
10.068 10.068 6.026
10.068 6.026 10.068
13.672 10.469 10.469
2.422 5.625 5.625
6.026 10.068 6.026
6.026 6.026 10.068
10.068 10.068 10.068
10.469 13.672 10.469
10.469 10.469 13.672
13.672 13.672 13.672
6.026 10.068 10.068
4.024 4.024 0.000
4.024 0.000 4.024
8.047 4.024 4.024
0.000 4.024 4.024
4.024 8.047 4.024
4.024 4.024 8.047
8.047 8.047 8.047
```

=====

VASP calculation (PBE-GGA) on crystalline TbNd4Sm4 at its relaxed geometry.

## Properties
Calculated formation energy in meV per atom: 13
Density in g/cm³: 7.2
Total DFT energy (no corrections) in eV per atom: -4.7175
Magnetization in μB/atom: 0.00

Geometry as POSCAR:
```
TbNd4Sm4
1.0
-5.467 5.467 2.575
5.467 -5.467 2.575
5.467 5.467 -2.575
Tb Nd Sm
1 4 4
Cartesian
0.000 0.000 0.000
3.649 3.649 0.000
1.818 -1.818 2.575
-1.818 1.818 2.575
1.818 1.818 2.575
3.647 0.000 0.000
7.287 0.000 0.000
0.000 3.647 0.000
0.000 7.287 0.000
```

=====

VASP calculation (PBE-GGA) on crystalline Tb3NdSm6 at its relaxed geometry.

## Properties
Calculated formation energy in meV per atom: 145
Distance to the lowest polymorph of the same formula in meV/atom: 21
Density in g/cm³: 7.5
Total DFT energy (no corrections) in eV per atom: -4.5521
Magnetization in μB/atom: 0.00

Geometry as POSCAR:
```
Tb3NdSm6
1.0
5.523 -9.617 0.000
5.523 9.617 0.000
0.000 0.000 6.328
Tb Nd Sm
6 2 12
Cartesian
5.523 7.404 3.164
3.610 2.209 0.766
3.610 -2.209 3.930
7.437 2.209 0.766
7.437 -2.209 3.930
5.523 -7.404 0.000
5.523 3.772 2.959
5.523 -3.772 6.123
2.630 4.018 4.492
1.852 0.802 3.389
1.852 -0.802 0.225
5.523 5.384 5.945
2.630 -4.018 1.328
5.523 0.737 4.451
5.523 -0.737 1.287
8.417 4.018 4.492
5.523 -5.384 2.781
9.195 0.802 3.389
9.195 -0.802 0.225
8.417 -4.018 1.328
```

=====

VASP calculation (PBE-GGA) on crystalline TbNd5Sm at its relaxed geometry.

## Properties
Calculated formation energy in meV per atom: 966
Distance to the lowest polymorph of the same formula in meV/atom: 114
Density in g/cm³: 5.4
Total DFT energy (no corrections) in eV per atom: -3.7754
Magnetization in μB/atom: 0.00

Geometry as POSCAR:
```
TbNd5Sm
1.0
-2.962 4.407 6.064
2.962 -4.407 6.064
2.962 4.407 -6.064
Tb Nd Sm
1 5 1
Cartesian
0.000 0.000 0.000
2.962 1.562 0.000
0.000 0.000 3.046
0.000 4.407 0.000
0.000 0.000 9.082
0.000 2.845 6.064
0.000 0.000 6.064
```

=====

VASP calculation (PBE-GGA) on crystalline Tb3NdSm6 at its relaxed geometry.

## Properties
Calculated formation energy in meV per atom: 124
Distance to the lowest polymorph of the same formula in meV/atom: 0
Density in g/cm³: 7.5
Total DFT energy (no corrections) in eV per atom: -4.5733
Magnetization in μB/atom: 0.00

Geometry as POSCAR:
```
Tb3NdSm6
1.0
4.884 -10.677 0.000
4.884 10.677 0.000
0.000 0.000 6.472
Tb Nd Sm
6 2 12
Cartesian
4.884 8.952 3.236
3.238 2.726 5.745
3.238 -2.726 2.509
6.530 2.726 5.745
6.530 -2.726 2.509
4.884 -8.952 0.000
4.884 3.374 2.667
4.884 -3.374 5.903
3.180 6.021 4.745
1.751 1.270 3.098
4.884 6.426 1.320
1.751 -1.270 6.334
6.588 6.021 4.745
4.884 0.301 1.323
4.884 -0.301 4.559
3.180 -6.021 1.509
8.017 1.270 3.098
4.884 -6.426 4.556
8.017 -1.270 6.334
6.588 -6.021 1.509
```

=====

VASP calculation (PBE-GGA) on crystalline TbNdSm at its relaxed geometry.

## Properties
Calculated formation energy in meV per atom: 14
Distance to the lowest polymorph of the same formula in meV/atom: 0
Density in g/cm³: 7.5
Total DFT energy (no corrections) in eV per atom: -4.6913
Magnetization in μB/atom: 0.00

Geometry as POSCAR:
```
TbNdSm
1.0
5.707 -2.572 0.000
5.707 2.572 0.000
-2.246 0.000 6.867
Tb Nd Sm
2 2 2
Cartesian
1.160 0.000 2.298
8.008 0.000 4.569
0.025 0.000 5.714
9.143 0.000 1.153
5.707 0.000 0.000
4.584 0.000 3.433
```

=====

VASP calculation (PBE-GGA) on crystalline Tb3Nd2Sm at its relaxed geometry.

## Properties
Calculated formation energy in meV per atom: 256
Distance to the lowest polymorph of the same formula in meV/atom: 98
Density in g/cm³: 7.5
Total DFT energy (no corrections) in eV per atom: -4.4347
Magnetization in μB/atom: 0.00

Geometry as POSCAR:
```
Tb3Nd2Sm
1.0
6.717 0.000 0.000
0.000 17.758 0.000
0.000 0.000 3.414
Tb Nd Sm
6 4 2
Cartesian
0.000 0.000 0.000
1.598 5.726 0.000
1.761 14.605 1.707
3.359 8.879 1.707
4.957 3.153 1.707
5.119 12.032 0.000
1.562 2.696 1.707
1.796 11.575 0.000
4.921 6.183 0.000
5.155 15.062 1.707
0.000 8.879 0.000
3.359 0.000 1.707
```

=====

VASP calculation (PBE-GGA) on crystalline TbNd8Sm2 at its relaxed geometry.

## Properties
Calculated formation energy in meV per atom: 13
Distance to the lowest polymorph of the same formula in meV/atom: 0
Density in g/cm³: 7.0
Total DFT energy (no corrections) in eV per atom: -4.7331
Magnetization in μB/atom: 0.00

Geometry as POSCAR:
```
TbNd8Sm2
1.0
9.321 -2.588 0.000
9.321 2.588 0.000
-2.156 0.000 7.903
Tb Nd Sm
1 8 2
Cartesian
0.000 0.000 0.000
0.718 0.000 3.580
1.423 0.000 7.190
5.017 0.000 6.463
7.883 0.000 2.145
8.603 0.000 5.758
11.469 0.000 1.440
15.063 0.000 0.713
15.768 0.000 4.323
4.305 0.000 2.879
12.181 0.000 5.024
```

=====

VASP calculation (PBE-GGA) on crystalline Tb3Nd4Sm2 at its relaxed geometry.

## Properties
Calculated formation energy in meV per atom: 48
Distance to the lowest polymorph of the same formula in meV/atom: 0
Density in g/cm³: 7.4
Total DFT energy (no corrections) in eV per atom: -4.6628
Magnetization in μB/atom: 0.00

Geometry as POSCAR:
```
Tb3Nd4Sm2
1.0
8.757 -1.788 0.000
8.757 1.788 0.000
-1.741 0.000 9.712
Tb Nd Sm
3 4 2
Cartesian
0.000 0.000 0.000
1.890 0.000 5.284
13.883 0.000 4.428
4.526 0.000 7.577
8.170 0.000 3.216
7.603 0.000 6.496
11.246 0.000 2.135
5.482 0.000 1.169
10.290 0.000 8.543
```

=====

VASP calculation (PBE-GGA) on crystalline TbNd2Sm9 at its relaxed geometry.

## Properties
Calculated formation energy in meV per atom: 17
Distance to the lowest polymorph of the same formula in meV/atom: 0
Density in g/cm³: 7.4
Total DFT energy (no corrections) in eV per atom: -4.7028
Magnetization in μB/atom: 0.00

Geometry as POSCAR:
```
TbNd2Sm9
1.0
5.132 0.000 0.000
0.000 5.132 0.000
0.000 0.000 15.396
Tb Nd Sm
1 2 9
Cartesian
0.000 0.000 0.000
0.000 0.000 5.119
0.000 0.000 10.276
0.000 2.566 2.543
0.000 2.566 7.698
0.000 2.566 12.853
2.566 0.000 2.543
2.566 0.000 7.698
2.566 0.000 12.853
2.566 2.566 0.000
2.566 2.566 5.119
2.566 2.566 10.277
```